Compound: Tb6YEr2Sc
Source: Alexandria
Functional: PBE
Structure: relaxed

a = 9.389 Å, b = 8.707 Å, c = 8.707 Å
α = 117.58°, β = 93.60°, γ = 93.60°
Element x y z (fractional)
Tb1 0.054 0.127 0.755
Tb2 0.446 0.245 0.873
Tb3 0.946 0.873 0.245
Tb4 0.554 0.755 0.127
Tb5 0.310 0.994 0.436
Tb6 0.190 0.564 0.006
Tb7 0.690 0.006 0.564
Tb8 0.810 0.436 0.994
Tb9 0.117 0.709 0.495
Tb10 0.383 0.505 0.291
Tb11 0.883 0.291 0.505
Tb12 0.617 0.495 0.709
Y1 0.250 0.978 0.022
Y2 0.750 0.022 0.978
Er1 0.454 0.798 0.693
Er2 0.046 0.307 0.202
Er3 0.546 0.202 0.307
Er4 0.954 0.693 0.798
Sc1 0.250 0.415 0.585
Sc2 0.750 0.585 0.415

Calculated values
ΔE_f   0.12 eV/atom
Space group   C2/c (15)